DFT (GGA-PBE) results for a geometry-optimized Sr2MgZn2Pd5 structure.

```
Sr2MgZn2Pd5
1.0
10.2602 0.0000 0.0000
0.0000 10.2602 0.0000
0.0000 0.0000 3.6767
Sr Mg Zn Pd
4 2 4 10
direct
0.1763 0.3237 0.0000
0.3237 0.8237 0.0000
0.6763 0.1763 0.0000
0.8237 0.6763 0.0000
0.0000 0.0000 0.0000
0.5000 0.5000 0.0000
0.1230 0.6230 0.0000
0.3770 0.1230 0.0000
0.6230 0.8770 0.0000
0.8770 0.3770 0.0000
0.0000 0.5000 0.5000
0.0622 0.7947 0.5000
0.2053 0.0622 0.5000
0.2947 0.5622 0.5000
0.4378 0.2947 0.5000
0.5000 0.0000 0.5000
0.5622 0.7053 0.5000
0.7053 0.4378 0.5000
0.7947 0.9378 0.5000
0.9378 0.2053 0.5000
```

## Properties
D(E_F) ... 0.4047 states/eV per atom
Formation energy from the elements ... -566.2 meV/atom